EuPaFe4 PBE optimized geometry; D(E_F) = 12.4 states/eV/f.u.; total DFT energy (no corrections) = -0.649 Ry per atom
1.0
5.124 0.000 0.000
2.562 4.438 0.000
2.562 1.479 4.184
Fe Eu Pa
4 1 1
direct
0.624 0.624 0.128
0.128 0.624 0.624
0.624 0.128 0.624
0.624 0.624 0.624
0.000 0.000 0.000
0.250 0.250 0.250